(1)
Below is a geometry-optimized CeNdDy2 structure, with properties calculated at the GGA-PBE level.

Computed properties:
- Excess energy over the best structure of this formula in the dataset: 0.08 eV per formula unit
- Calculated volume: 32.051 A^3/atom
- Electronic total energy: -4.903 eV per atom

Cell lengths 5.066, 5.066, 4.995 Å; angles 90.00, 90.00, 90.00 degrees
Sites, in units of the cell vectors:
Ce: 0.000 0.000 0.000
Nd: 0.500 0.500 0.000
Dy: 0.000 0.500 0.500
Dy: 0.500 0.000 0.500

(2)
Below is a geometry-optimized ScNbRh4 structure, with properties calculated at the GGA-PBE level.

Computed properties:
- Calculated volume: 15.743 A^3/atom
- Electronic total energy: -8.047 eV per atom

Cell lengths 4.948, 4.948, 7.541 Å; angles 112.16, 112.16, 33.83 degrees
Sites, in units of the cell vectors:
Sc: 0.000 0.000 0.000
Nb: 0.000 0.000 0.500
Rh: 0.333 0.333 0.661
Rh: 0.338 0.338 0.170
Rh: 0.662 0.662 0.830
Rh: 0.667 0.667 0.339